Record 1
The following is a PBE calculation of a relaxed structure of FeReW2, from the Alexandria database.

Geometry as CIF:
```
data_FeReW2
_chemical_formula_sum 'Fe1 Re1 W2'
_symmetry_space_group_name_H-M 'P 1'
_symmetry_Int_Tables_number 1
_cell_length_a 2.7005
_cell_length_b 2.7005
_cell_length_c 8.6162
_cell_angle_alpha 90.00
_cell_angle_beta 90.00
_cell_angle_gamma 109.08
loop_
_symmetry_equiv_pos_as_xyz
'x,y,z'
loop_
_atom_site_label
_atom_site_type_symbol
_atom_site_fract_x
_atom_site_fract_y
_atom_site_fract_z
Fe1 Fe 0.0000 0.0000 0.0000
Re1 Re 0.0000 0.0000 0.5000
W1 W 0.5000 0.5000 0.2400
W2 W 0.5000 0.5000 0.7600
```

Values from the calculation:
- space group = No. 65
- V (Å³ per atom) = 14.85
- relative energy among the computed polymorphs (meV/atom) = 17.2
- formation energy from the elements (eV per atom) = 0.126

***

Record 2
The following is a PBE calculation of a relaxed structure of FeReW2, from the Alexandria database.

Geometry as CIF:
```
data_FeReW2
_chemical_formula_sum 'Fe1 Re1 W2'
_symmetry_space_group_name_H-M 'P 1'
_symmetry_Int_Tables_number 1
_cell_length_a 3.1315
_cell_length_b 3.1315
_cell_length_c 6.0127
_cell_angle_alpha 90.00
_cell_angle_beta 90.00
_cell_angle_gamma 90.00
loop_
_symmetry_equiv_pos_as_xyz
'x,y,z'
loop_
_atom_site_label
_atom_site_type_symbol
_atom_site_fract_x
_atom_site_fract_y
_atom_site_fract_z
Fe1 Fe 0.0000 0.0000 0.0000
Re1 Re 0.0000 0.0000 0.5000
W1 W 0.5000 0.5000 0.2367
W2 W 0.5000 0.5000 0.7633
```

Values from the calculation:
- space group = No. 123
- V (Å³ per atom) = 14.74
- relative energy among the computed polymorphs (meV/atom) = 0.0
- formation energy from the elements (eV per atom) = 0.108

***

Record 3
The following is a PBE calculation of a relaxed structure of Fe2ReW, from the Alexandria database.

Geometry as CIF:
```
data_Fe2ReW
_chemical_formula_sum 'Fe2 Re1 W1'
_symmetry_space_group_name_H-M 'P 1'
_symmetry_Int_Tables_number 1
_cell_length_a 4.5166
_cell_length_b 4.5166
_cell_length_c 2.6788
_cell_angle_alpha 90.00
_cell_angle_beta 90.00
_cell_angle_gamma 107.51
loop_
_symmetry_equiv_pos_as_xyz
'x,y,z'
loop_
_atom_site_label
_atom_site_type_symbol
_atom_site_fract_x
_atom_site_fract_y
_atom_site_fract_z
Fe1 Fe 0.0000 0.5000 0.0000
Fe2 Fe 0.5000 0.0000 0.0000
Re1 Re 0.0000 0.0000 0.5000
W1 W 0.5000 0.5000 0.5000
```

Values from the calculation:
- space group = No. 65
- V (Å³ per atom) = 13.03
- formation energy from the elements (eV per atom) = 0.111

***

Record 4
The following is a PBE calculation of a relaxed structure of FeReW2, from the Alexandria database.

Geometry as CIF:
```
data_FeReW2
_chemical_formula_sum 'Fe1 Re1 W2'
_symmetry_space_group_name_H-M 'P 1'
_symmetry_Int_Tables_number 1
_cell_length_a 4.3862
_cell_length_b 4.3862
_cell_length_c 4.3862
_cell_angle_alpha 60.00
_cell_angle_beta 60.00
_cell_angle_gamma 60.00
loop_
_symmetry_equiv_pos_as_xyz
'x,y,z'
loop_
_atom_site_label
_atom_site_type_symbol
_atom_site_fract_x
_atom_site_fract_y
_atom_site_fract_z
Fe1 Fe 0.0000 0.0000 0.0000
Re1 Re 0.7500 0.7500 0.7500
W1 W 0.2500 0.2500 0.2500
W2 W 0.5000 0.5000 0.5000
```

Values from the calculation:
- space group = No. 216
- V (Å³ per atom) = 14.92
- relative energy among the computed polymorphs (meV/atom) = 45.3
- formation energy from the elements (eV per atom) = 0.154

***

Record 5
The following is a PBE calculation of a relaxed structure of Fe2ReW, from the Alexandria database.

Geometry as CIF:
```
data_Fe2ReW
_chemical_formula_sum 'Fe2 Re1 W1'
_symmetry_space_group_name_H-M 'P 1'
_symmetry_Int_Tables_number 1
_cell_length_a 4.9552
_cell_length_b 4.9552
_cell_length_c 2.6176
_cell_angle_alpha 99.00
_cell_angle_beta 99.00
_cell_angle_gamma 116.23
loop_
_symmetry_equiv_pos_as_xyz
'x,y,z'
loop_
_atom_site_label
_atom_site_type_symbol
_atom_site_fract_x
_atom_site_fract_y
_atom_site_fract_z
Fe1 Fe 0.0000 0.5000 0.0000
Fe2 Fe 0.5000 0.0000 0.0000
Re1 Re 0.0000 0.0000 0.5000
W1 W 0.5000 0.5000 0.5000
```

Values from the calculation:
- space group = No. 12
- V (Å³ per atom) = 13.77
- formation energy from the elements (eV per atom) = 0.138

***

Record 6
The following is a PBE calculation of a relaxed structure of Fe2ReW, from the Alexandria database.

Geometry as CIF:
```
data_Fe2ReW
_chemical_formula_sum 'Fe2 Re1 W1'
_symmetry_space_group_name_H-M 'P 1'
_symmetry_Int_Tables_number 1
_cell_length_a 8.6394
_cell_length_b 8.6394
_cell_length_c 8.6394
_cell_angle_alpha 18.32
_cell_angle_beta 18.32
_cell_angle_gamma 18.32
loop_
_symmetry_equiv_pos_as_xyz
'x,y,z'
loop_
_atom_site_label
_atom_site_type_symbol
_atom_site_fract_x
_atom_site_fract_y
_atom_site_fract_z
Fe1 Fe 0.0000 0.0000 0.0000
Fe2 Fe 0.2597 0.2597 0.2597
Re1 Re 0.5112 0.5112 0.5112
W1 W 0.7521 0.7521 0.7521
```

Values from the calculation:
- space group = No. 160
- V (Å³ per atom) = 13.91
- formation energy from the elements (eV per atom) = 0.272

***

Record 7
The following is a PBE calculation of a relaxed structure of FeReW2, from the Alexandria database.

Geometry as CIF:
```
data_FeReW2
_chemical_formula_sum 'Fe1 Re1 W2'
_symmetry_space_group_name_H-M 'P 1'
_symmetry_Int_Tables_number 1
_cell_length_a 9.2806
_cell_length_b 9.2806
_cell_length_c 9.2806
_cell_angle_alpha 17.02
_cell_angle_beta 17.02
_cell_angle_gamma 17.02
loop_
_symmetry_equiv_pos_as_xyz
'x,y,z'
loop_
_atom_site_label
_atom_site_type_symbol
_atom_site_fract_x
_atom_site_fract_y
_atom_site_fract_z
Fe1 Fe 0.0000 0.0000 0.0000
Re1 Re 0.7415 0.7415 0.7415
W1 W 0.2536 0.2536 0.2536
W2 W 0.4956 0.4956 0.4956
```

Values from the calculation:
- space group = No. 160
- V (Å³ per atom) = 14.93
- relative energy among the computed polymorphs (meV/atom) = 208.4
- formation energy from the elements (eV per atom) = 0.317

***

Record 8
The following is a PBE calculation of a relaxed structure of Fe2ReW, from the Alexandria database.

Geometry as CIF:
```
data_Fe2ReW
_chemical_formula_sum 'Fe2 Re1 W1'
_symmetry_space_group_name_H-M 'P 1'
_symmetry_Int_Tables_number 1
_cell_length_a 3.1100
_cell_length_b 4.2002
_cell_length_c 4.2152
_cell_angle_alpha 90.00
_cell_angle_beta 90.00
_cell_angle_gamma 90.00
loop_
_symmetry_equiv_pos_as_xyz
'x,y,z'
loop_
_atom_site_label
_atom_site_type_symbol
_atom_site_fract_x
_atom_site_fract_y
_atom_site_fract_z
Fe1 Fe 0.0000 0.0000 0.0000
Fe2 Fe 0.5000 0.0000 0.5000
Re1 Re 0.0000 0.5000 0.5000
W1 W 0.5000 0.5000 0.0000
```

Values from the calculation:
- space group = No. 47
- V (Å³ per atom) = 13.77
- formation energy from the elements (eV per atom) = 0.118

***

Record 9
The following is a PBE calculation of a relaxed structure of FeReW2, from the Alexandria database.

Geometry as CIF:
```
data_FeReW2
_chemical_formula_sum 'Fe1 Re1 W2'
_symmetry_space_group_name_H-M 'P 1'
_symmetry_Int_Tables_number 1
_cell_length_a 3.1728
_cell_length_b 4.3206
_cell_length_c 4.3375
_cell_angle_alpha 90.00
_cell_angle_beta 90.00
_cell_angle_gamma 90.00
loop_
_symmetry_equiv_pos_as_xyz
'x,y,z'
loop_
_atom_site_label
_atom_site_type_symbol
_atom_site_fract_x
_atom_site_fract_y
_atom_site_fract_z
Fe1 Fe 0.0000 0.0000 0.0000
Re1 Re 0.5000 0.0000 0.5000
W1 W 0.0000 0.5000 0.5000
W2 W 0.5000 0.5000 0.0000
```

Values from the calculation:
- space group = No. 47
- V (Å³ per atom) = 14.87
- relative energy among the computed polymorphs (meV/atom) = 14.3
- formation energy from the elements (eV per atom) = 0.123

***

Record 10
The following is a PBE calculation of a relaxed structure of FeReW2, from the Alexandria database.

Geometry as CIF:
```
data_FeReW2
_chemical_formula_sum 'Fe1 Re1 W2'
_symmetry_space_group_name_H-M 'P 1'
_symmetry_Int_Tables_number 1
_cell_length_a 2.6953
_cell_length_b 2.6953
_cell_length_c 8.6533
_cell_angle_alpha 90.00
_cell_angle_beta 90.00
_cell_angle_gamma 108.60
loop_
_symmetry_equiv_pos_as_xyz
'x,y,z'
loop_
_atom_site_label
_atom_site_type_symbol
_atom_site_fract_x
_atom_site_fract_y
_atom_site_fract_z
Fe1 Fe 0.0000 0.0000 0.0000
Re1 Re 0.5000 0.5000 0.7626
W1 W 0.0000 0.0000 0.5044
W2 W 0.5000 0.5000 0.2407
```

Values from the calculation:
- space group = No. 35
- V (Å³ per atom) = 14.89
- relative energy among the computed polymorphs (meV/atom) = 3.4
- formation energy from the elements (eV per atom) = 0.112

***

Number 1: DFT total energy -11.579 eV/atom, total moment 2.0 μB per cell. Number 2: DFT total energy -11.596 eV/atom, total moment 2.0 μB per cell. Number 3: DFT total energy -10.470 eV/atom, total moment 0.8 μB per cell. Number 4: DFT total energy -11.551 eV/atom, total moment 2.7 μB per cell. Number 5: DFT total energy -10.444 eV/atom, total moment 4.5 μB per cell. Number 6: DFT total energy -10.310 eV/atom, total moment 4.4 μB per cell. Number 7: DFT total energy -11.388 eV/atom, total moment 1.6 μB per cell. Number 8: DFT total energy -10.464 eV/atom, total moment 4.4 μB per cell. Number 9: DFT total energy -11.582 eV/atom, total moment 2.5 μB per cell. Number 10: DFT total energy -11.593 eV/atom, total moment 2.2 μB per cell.